1.
DFT (PBE) results for a geometry-optimized Sr2Sc structure.

Cell and atoms, written as extended XYZ:
```
3
Lattice="-3.602 2.260 -4.245 -5.903 -1.106 0.168 -3.846 4.412 1.360" Properties=species:S:1:pos:R:3 pbc="T T T"
Sc 0.000 0.000 0.000
Sr -10.013 4.174 -2.037
Sr -3.338 1.391 -0.679
```

Properties
Its formation energy from the elements is 66.94 kJ per mole of atoms.

---

2.
DFT (PBE) results for a geometry-optimized MnTlSn2I8 structure.

Cell and atoms, written as extended XYZ:
```
12
Lattice="-3.058 -5.106 4.644 -3.290 -3.395 -5.393 7.462 -5.486 -1.110" Properties=species:S:1:pos:R:3 pbc="T T T"
Mn 0.000 0.000 0.000
Tl 3.731 -2.743 -0.555
Sn 2.514 -8.433 -1.220
Sn -1.400 -5.554 -0.639
I -1.452 -4.587 -3.663
I -4.569 -6.044 -0.907
I -1.749 -6.223 2.447
I 2.565 -9.400 1.804
I 5.683 -7.943 -0.951
I 2.863 -7.764 -4.305
I -0.637 -8.510 -1.433
I 1.750 -5.477 -0.426
```

---

3.
DFT (PBE) results for a geometry-optimized Tc2PW structure.

Cell and atoms, written as extended XYZ:
```
4
Lattice="3.929 0.000 0.000 0.000 2.849 0.001 0.000 1.157 5.178" Properties=species:S:1:pos:R:3 pbc="T T T"
Tc 0.000 1.264 3.784
Tc 0.000 2.742 1.395
P 1.964 2.003 2.589
W 1.964 1.424 0.000
```

Properties
Its formation energy from the elements is 0.90 kJ per mole of atoms.

---

4.
DFT (PBE) results for a geometry-optimized PrNp3S4 structure.

Cell and atoms, written as extended XYZ:
```
8
Lattice="-2.762 -2.818 0.186 3.351 -3.600 -4.782 4.489 -4.199 3.046" Properties=species:S:1:pos:R:3 pbc="T T T"
Pr 4.784 -7.408 0.747
Np 0.864 -3.508 1.615
Np 1.728 -7.017 3.231
Np 1.159 -6.717 -0.683
S 3.105 -8.659 -1.216
S 2.309 -5.212 -2.745
S -0.787 -4.775 -0.151
S 2.770 -5.404 1.193
```

---

5.
DFT (PBE) results for a geometry-optimized Ga2Pt3Rh structure.

Cell and atoms, written as extended XYZ:
```
12
Lattice="-3.360 -0.069 2.398 2.987 -2.167 4.123 1.695 7.255 2.585" Properties=species:S:1:pos:R:3 pbc="T T T"
Ga 1.818 4.604 6.236
Ga -0.847 0.669 2.387
Ga 1.997 3.999 2.915
Ga 3.009 0.853 4.242
Pt 3.021 5.982 4.406
Pt 2.943 -1.824 4.073
Pt 0.620 -0.169 4.419
Pt 0.209 5.545 4.007
Pt 1.546 1.592 2.213
Pt 3.650 3.123 5.206
Rh 0.827 2.691 4.792
Rh -0.787 3.257 2.546
```

Properties
Its formation energy from the elements is -52.12 kJ per mole of atoms.

---

6.
DFT (PBE) results for a geometry-optimized TiAlSb2 structure.

Cell and atoms, written as extended XYZ:
```
4
Lattice="0.000 3.514 3.514 3.514 0.000 3.514 3.514 3.514 0.000" Properties=species:S:1:pos:R:3 pbc="T T T"
Sb 1.757 1.757 1.757
Sb 5.271 5.271 5.271
Al 0.000 0.000 0.000
Ti 3.514 3.514 3.514
```

---

7.
DFT (PBE) results for a geometry-optimized KCaGa4 structure.

Cell and atoms, written as extended XYZ:
```
6
Lattice="-2.917 4.968 0.175 -4.496 0.827 -3.511 -5.348 0.128 2.147" Properties=species:S:1:pos:R:3 pbc="T T T"
Ca 0.000 0.000 0.000
K -3.190 1.481 -0.297
Ga -5.300 3.640 -1.819
Ga -5.726 3.289 1.016
Ga -7.979 3.704 -0.743
Ga -6.518 1.214 -0.831
```

Properties
Its formation energy from the elements is -23.20 kJ per mole of atoms.

---

8.
DFT (PBE) results for a geometry-optimized TlCuF3 structure.

Cell and atoms, written as extended XYZ:
```
20
Lattice="-2.211 -7.210 1.422 -6.320 -1.329 4.146 -6.284 -2.824 -3.381" Properties=species:S:1:pos:R:3 pbc="T T T"
Tl -9.260 -7.102 1.367
Tl -6.099 -6.438 -0.706
Tl -8.154 -3.497 0.656
Tl -6.117 -5.690 3.057
Cu -1.852 -1.420 0.273
Cu -5.012 -2.085 2.346
Cu -2.957 -5.026 0.984
Cu -4.994 -2.832 -1.417
F -4.206 -6.623 1.296
F -5.699 -2.254 0.421
F -4.135 -3.938 2.264
F -1.709 -3.428 0.673
F -3.286 -1.170 1.719
F -8.078 -8.363 -0.787
F -4.121 -4.512 -0.625
F -3.272 -1.744 -1.171
F -6.738 -3.000 2.974
F -10.609 -4.740 0.891
F -6.715 -3.921 -1.663
F -8.100 -7.442 3.850
```

---

no.,total DFT energy (no corrections) (eV per cell)
1,-7.61
2,-36.89
3,-39.06
4,-72.35
5,-69.54
6,-19.34
7,-16.65
8,-80.16